DFT (PBE) results for a relaxed ScGeMo crystal.

Results
D(E_F) ... 5.563 states/eV per cell
VASP energy ... -7.787 eV per atom

abc: 3.815 3.815 7.369
angles: 90.00 90.00 90.00
Fractional positions:
Sc1 0.250 0.250 0.144
Sc2 0.750 0.750 0.856
Ge1 0.250 0.250 0.761
Ge2 0.750 0.750 0.239
Mo1 0.250 0.750 0.500
Mo2 0.750 0.250 0.500

***

DFT (PBE) results for a relaxed ScGeMo3 crystal.

Results
Polymorph energy (0 for the lowest one) ... 1009 meV/atom
D(E_F) ... 6.347 states/eV per cell

abc: 4.634 4.634 4.634
angles: 90.00 90.00 90.00
Fractional positions:
Sc1 0.000 0.000 0.000
Ge1 0.500 0.500 0.500
Mo1 0.000 0.000 0.500
Mo2 0.000 0.500 0.000
Mo3 0.500 0.000 0.000